VASP calculation (GGA+U) on an optimized crystal structure of CoHgPd2F.

abc: 4.7953 4.7953 3.7115
angles: 90.00 90.00 90.00
With the nearest neighbours (Å) after each atom.
Sites, in units of the cell vectors:
Co  0.0000  0.0000  0.0000  2 F 1.86
Hg  0.5000  0.5000  0.0000  8 Pd 3.03, 4 Co 3.39
Pd  0.0000  0.5000  0.5000  2 F 2.40
Pd  0.5000  0.0000  0.5000  2 F 2.40
F  0.0000  0.0000  0.5000  2 Co 1.86

Values from the calculation:
DOS at the Fermi energy = 0.4783 states/eV per atom
energy = -0.2515 Ry per atom
space group = P4/mmm (123)